# CsTcAg2

A relaxed structure of CsTcAg2 (PBE, the Alexandria database). Values from VASP.

```
&SYSTEM
  ibrav = 0, nat = 8, ntyp = 3
/
ATOMIC_SPECIES
Ag 107.87 Ag.upf
Tc 98.00 Tc.upf
Cs 132.91 Cs.upf
CELL_PARAMETERS angstrom
-2.432 -3.251 -3.812
3.688 -4.029 1.083
-5.091 -7.101 5.237
ATOMIC_POSITIONS angstrom
Ag -3.639 -10.691 1.270
Ag 0.122 -5.511 0.559
Ag -2.427 -9.061 3.174
Ag -1.725 -3.500 0.013
Tc -0.387 -7.385 2.478
Tc 0.628 -3.640 -1.365
Cs -3.448 -6.996 0.031
Cs 0.000 0.000 0.000
```

Computed properties:
energy = -3.186 eV per atom
E_form = 1.04 eV per atom
space-group type = I4_1/amd, No. 141
excess energy over the best structure of this formula in the dataset = 0.000 eV/f.u.